NaCdIn2Au4 PBE relaxed; uncorrected energy = -22.5 eV/cell
1.0
-3.630 -0.064 3.194
-1.614 -4.212 1.741
3.517 -0.966 7.638
Na Cd In Au
1 1 2 4
Direct
0.000 0.000 0.000
0.500 0.500 0.500
0.745 0.745 0.766
0.255 0.255 0.234
0.380 0.380 0.860
0.872 0.872 0.384
0.128 0.128 0.616
0.620 0.620 0.140